No. 1
An optimized crystal structure of PmHfN2, computed with GGA-PBE.

Unit cell a=3.3382 b=3.3382 c=17.1091 alpha=90.00 beta=90.00 gamma=120.00
Space group R-3m (No. 166, hexagonal axes)
Unique sites:
Pm 0.0000 0.0000 0.0000 (multiplicity 3)
Hf 0.0000 0.0000 0.5000 (multiplicity 3)
N 0.0000 0.0000 0.2368 (multiplicity 6)

## Properties
density	10.605	g/cm³
M_tot	0.00	Bohr magnetons per cell

No. 2
An optimized crystal structure of PmHf2PtN4, computed with GGA-PBE.

Unit cell a=3.272 b=11.242 c=11.552 alpha=90.00 beta=90.00 gamma=90.00
Space group Cmcm (No. 63)
Unique sites:
Pm 0.000 0.120 0.250 (multiplicity 4)
Hf 0.000 0.369 0.050 (multiplicity 8)
Pt 0.000 0.145 0.750 (multiplicity 4)
N 0.000 0.000 0.000 (multiplicity 4)
N 0.000 0.269 0.604 (multiplicity 8)
N 0.000 0.467 0.250 (multiplicity 4)

## Properties
density	11.773	g/cm³
M_tot	0.00	Bohr magnetons per cell

No. 3
An optimized crystal structure of PmPu2HfN4, computed with GGA-PBE.

Unit cell a=5.916 b=3.426 c=6.013 alpha=90.00 beta=109.23 gamma=90.00
Space group P2/m (No. 10)
Unique sites:
Pm 0.000 0.000 0.000 (multiplicity 1)
Pu 0.500 0.000 0.500 (multiplicity 1)
Pu 0.500 0.500 0.000 (multiplicity 1)
Hf 0.000 0.500 0.500 (multiplicity 1)
N 0.236 0.000 0.722 (multiplicity 2)
N 0.252 0.500 0.278 (multiplicity 2)

## Properties
density	12.519	g/cm³
M_tot	9.64	Bohr magnetons per cell

No. 4
An optimized crystal structure of Pm2PuHfN4, computed with GGA-PBE.

Unit cell a=5.965 b=3.444 c=6.030 alpha=90.00 beta=109.06 gamma=90.00
Space group P2/m (No. 10)
Unique sites:
Pm 0.000 0.000 0.000 (multiplicity 1)
Pm 0.500 0.500 0.000 (multiplicity 1)
Pu 0.000 0.500 0.500 (multiplicity 1)
Hf 0.500 0.000 0.500 (multiplicity 1)
N 0.252 0.000 0.719 (multiplicity 2)
N 0.271 0.500 0.283 (multiplicity 2)

## Properties
density	10.899	g/cm³
M_tot	4.64	Bohr magnetons per cell

No. 5
An optimized crystal structure of PmPuHfN3, computed with GGA-PBE.

Unit cell a=6.740 b=3.360 c=8.983 alpha=90.00 beta=99.41 gamma=90.00
Space group P2_1/m (No. 11)
Unique sites:
Pm 0.097 0.250 0.354 (multiplicity 2)
Pu 0.275 0.250 0.940 (multiplicity 2)
Hf 0.410 0.750 0.632 (multiplicity 2)
N 0.181 0.250 0.632 (multiplicity 2)
N 0.367 0.750 0.384 (multiplicity 2)
N 0.455 0.750 0.875 (multiplicity 2)

## Properties
density	10.086	g/cm³
M_tot	11.13	Bohr magnetons per cell

No. 6
An optimized crystal structure of Pm2HfS2N2, computed with GGA-PBE.

Unit cell a=4.207 b=4.207 c=14.397 alpha=90.00 beta=90.00 gamma=90.00
Space group I4/mmm (No. 139)
Unique sites:
Pm 0.000 0.000 0.118 (multiplicity 4)
Hf 0.000 0.000 0.500 (multiplicity 2)
S 0.000 0.000 0.320 (multiplicity 4)
N 0.000 0.500 0.000 (multiplicity 4)

## Properties
density	7.309	g/cm³
M_tot	0.00	Bohr magnetons per cell

No. 7
An optimized crystal structure of PmHf2ScN4, computed with GGA-PBE.

Unit cell a=6.572 b=6.652 c=9.354 alpha=90.00 beta=90.00 gamma=90.00
Space group Imma (No. 74)
Unique sites:
Pm 0.250 0.250 0.250 (multiplicity 4)
Hf 0.000 0.000 0.000 (multiplicity 4)
Hf 0.250 0.250 0.750 (multiplicity 4)
Sc 0.000 0.000 0.500 (multiplicity 4)
N 0.000 0.024 0.754 (multiplicity 8)
N 0.243 0.250 0.988 (multiplicity 8)

## Properties
density	9.793	g/cm³
M_tot	0.00	Bohr magnetons per cell

No. 8
An optimized crystal structure of Pm2HfSe2N2, computed with GGA-PBE.

Unit cell a=4.230 b=4.230 c=15.151 alpha=90.00 beta=90.00 gamma=90.00
Space group I4/mmm (No. 139)
Unique sites:
Pm 0.000 0.000 0.112 (multiplicity 4)
Hf 0.000 0.000 0.500 (multiplicity 2)
Se 0.000 0.000 0.320 (multiplicity 4)
N 0.000 0.500 0.000 (multiplicity 4)

## Properties
density	8.019	g/cm³
M_tot	0.00	Bohr magnetons per cell

No. 9
An optimized crystal structure of PmSm2HfN4, computed with GGA-PBE.

Unit cell a=6.040 b=3.469 c=6.050 alpha=90.00 beta=109.10 gamma=90.00
Space group P2/m (No. 10)
Unique sites:
Pm 0.000 0.000 0.000 (multiplicity 1)
Sm 0.500 0.000 0.500 (multiplicity 1)
Sm 0.500 0.500 0.000 (multiplicity 1)
Hf 0.000 0.500 0.500 (multiplicity 1)
N 0.226 0.000 0.725 (multiplicity 2)
N 0.235 0.500 0.267 (multiplicity 2)

## Properties
density	9.429	g/cm³
M_tot	0.00	Bohr magnetons per cell

No. 10
An optimized crystal structure of Pm2SmHfN4, computed with GGA-PBE.

Unit cell a=6.051 b=3.473 c=6.061 alpha=90.00 beta=109.07 gamma=90.00
Space group P2/m (No. 10)
Unique sites:
Pm 0.000 0.000 0.000 (multiplicity 1)
Pm 0.500 0.500 0.000 (multiplicity 1)
Sm 0.000 0.500 0.500 (multiplicity 1)
Hf 0.500 0.000 0.500 (multiplicity 1)
N 0.265 0.000 0.732 (multiplicity 2)
N 0.275 0.500 0.276 (multiplicity 2)

## Properties
density	9.309	g/cm³
M_tot	0.00	Bohr magnetons per cell

No. 11
An optimized crystal structure of PmSmHfN3, computed with GGA-PBE.

Unit cell a=6.547 b=3.402 c=9.912 alpha=90.00 beta=91.36 gamma=90.00
Space group P2_1/m (No. 11)
Unique sites:
Pm 0.187 0.250 0.235 (multiplicity 2)
Sm 0.336 0.750 0.886 (multiplicity 2)
Hf 0.170 0.250 0.578 (multiplicity 2)
N 0.118 0.250 0.782 (multiplicity 2)
N 0.158 0.750 0.453 (multiplicity 2)
N 0.380 0.750 0.123 (multiplicity 2)

## Properties
density	7.762	g/cm³
M_tot	0.00	Bohr magnetons per cell

No. 12
An optimized crystal structure of Pm2HfSnN5, computed with GGA-PBE.

Unit cell a=3.411 b=14.117 c=10.492 alpha=90.00 beta=90.00 gamma=90.00
Space group Cmc2_1 (No. 36)
Unique sites:
Pm 0.000 0.115 0.000 (multiplicity 4)
Pm 0.000 0.134 0.587 (multiplicity 4)
Hf 0.000 0.221 0.305 (multiplicity 4)
Sn 0.000 0.481 0.773 (multiplicity 4)
N 0.000 0.063 0.364 (multiplicity 4)
N 0.000 0.284 0.948 (multiplicity 4)
N 0.000 0.306 0.675 (multiplicity 4)
N 0.000 0.368 0.307 (multiplicity 4)
N 0.000 0.499 0.078 (multiplicity 4)

## Properties
density	8.641	g/cm³
M_tot	0.00	Bohr magnetons per cell

no.,ΔE_f (raw) (eV per atom)
1,-1.66
2,-1.06
3,-1.43
4,-1.50
5,-1.32
6,-1.79
7,-1.72
8,-1.71
9,-1.55
10,-1.54
11,-1.24
12,-0.89